Entry 1:
# PBE-GGA La3W5N12, relaxed
data_La3W5N12
_cell_length_a 13.141
_cell_length_b 13.141
_cell_length_c 13.141
_cell_angle_alpha 90.00
_cell_angle_beta 90.00
_cell_angle_gamma 90.00
_symmetry_space_group_name_H-M 'I a -3 d'
_symmetry_Int_Tables_number 230
_symmetry_space_group_name_Hall '-I 4bd 2c 3'
loop_
_atom_site_label
_atom_site_type_symbol
_atom_site_fract_x
_atom_site_fract_y
_atom_site_fract_z
La1 La 0.000 0.250 0.125
W1 W 0.000 0.000 0.000
W2 W 0.000 0.250 0.375
N1 N 0.034 0.043 0.647
# E_form (uncorrected) = -0.821 eV/atom
# N(E_F) = 0.377 states/eV/atom
# calculated total energy = -9.793 eV/atom
# volume = 2269 Å³ per cell

Entry 2:
# PBE-GGA NaRe2Pt, relaxed
data_NaRe2Pt
_cell_length_a 7.724
_cell_length_b 7.724
_cell_length_c 4.954
_cell_angle_alpha 90.00
_cell_angle_beta 90.00
_cell_angle_gamma 90.00
_symmetry_space_group_name_H-M 'I -4 2 d'
_symmetry_Int_Tables_number 122
_symmetry_space_group_name_Hall 'I -4 2bw'
loop_
_atom_site_label
_atom_site_type_symbol
_atom_site_fract_x
_atom_site_fract_y
_atom_site_fract_z
Na1 Na 0.000 0.000 0.000
Re1 Re 0.197 0.250 0.625
Pt1 Pt 0.000 0.000 0.500
# N(E_F) = 0.897 states/eV/atom
# ΔE_f = 1.125 eV/atom
# calculated total energy = -6.939 eV/atom
# volume = 296 Å³ per cell
# E above lowest polymorph = 8 meV per atom

Entry 3:
# PBE-GGA Pm2Nd4YSc, relaxed
data_Pm2Nd4YSc
_cell_length_a 5.105
_cell_length_b 5.138
_cell_length_c 10.113
_cell_angle_alpha 90.00
_cell_angle_beta 90.01
_cell_angle_gamma 90.00
_symmetry_space_group_name_H-M 'P 1 2/m 1'
_symmetry_Int_Tables_number 10
_symmetry_space_group_name_Hall '-P 2y'
loop_
_atom_site_label
_atom_site_type_symbol
_atom_site_fract_x
_atom_site_fract_y
_atom_site_fract_z
Pm1 Pm 0.000 0.000 0.000
Pm2 Pm 0.500 0.500 0.500
Nd1 Nd 0.001 0.500 0.244
Nd2 Nd 0.499 0.000 0.755
Y1 Y 0.000 0.000 0.500
Sc1 Sc 0.500 0.500 0.000
# N(E_F) = 1.435 states/eV/atom
# ΔE_f = 0.024 eV/atom
# calculated total energy = -5.147 eV/atom
# volume = 265 Å³ per cell

Entry 4:
# PBE-GGA Mg2TiO4, relaxed
data_Mg2TiO4
_cell_length_a 6.039
_cell_length_b 10.415
_cell_length_c 14.760
_cell_angle_alpha 90.33
_cell_angle_beta 90.03
_cell_angle_gamma 90.05
_symmetry_space_group_name_H-M 'P 1'
_symmetry_Int_Tables_number 1
_symmetry_space_group_name_Hall 'P 1'
loop_
_atom_site_label
_atom_site_type_symbol
_atom_site_fract_x
_atom_site_fract_y
_atom_site_fract_z
Mg1 Mg 0.000 0.000 0.000
Mg2 Mg 0.000 0.165 0.208
Mg3 Mg 0.001 0.334 0.666
Mg4 Mg 0.003 0.501 0.124
Mg5 Mg 0.006 0.167 0.458
Mg6 Mg 0.010 0.833 0.790
Mg7 Mg 0.251 0.584 0.666
Mg8 Mg 0.492 0.335 0.541
Mg9 Mg 0.497 0.000 0.874
Mg10 Mg 0.497 0.667 0.207
Mg11 Mg 0.498 0.999 0.126
Mg12 Mg 0.499 0.667 0.833
Mg13 Mg 0.501 0.333 0.166
Mg14 Mg 0.503 0.999 0.500
Mg15 Mg 0.505 0.333 0.792
Mg16 Mg 0.507 0.665 0.458
Mg17 Mg 0.749 0.417 0.334
Mg18 Mg 0.750 0.250 0.000
Mg19 Mg 0.750 0.751 0.000
Mg20 Mg 0.751 0.916 0.333
Mg21 Mg 0.753 0.081 0.666
Mg22 Mg 0.995 0.833 0.542
Mg23 Mg 0.999 0.500 0.876
Mg24 Mg 0.999 0.666 0.333
Ti1 Ti 0.003 0.501 0.499
Ti2 Ti 0.248 0.417 0.327
Ti3 Ti 0.250 0.246 0.004
Ti4 Ti 0.250 0.755 0.995
Ti5 Ti 0.251 0.911 0.338
Ti6 Ti 0.254 0.091 0.664
Ti7 Ti 0.498 0.834 0.665
Ti8 Ti 0.513 0.501 0.000
Ti9 Ti 0.516 0.165 0.334
Ti10 Ti 0.751 0.579 0.671
Ti11 Ti 0.985 0.166 0.834
Ti12 Ti 0.987 0.833 0.167
O1 O 0.008 0.349 0.416
O2 O 0.011 0.317 0.916
O3 O 0.011 0.684 0.083
O4 O 0.012 0.983 0.249
O5 O 0.013 0.175 0.073
O6 O 0.013 0.826 0.926
O7 O 0.013 0.841 0.407
O8 O 0.014 0.492 0.259
O9 O 0.016 0.017 0.751
O10 O 0.016 0.158 0.593
O11 O 0.220 0.426 0.581
O12 O 0.234 0.099 0.918
O13 O 0.234 0.569 0.416
O14 O 0.234 0.765 0.252
O15 O 0.234 0.902 0.081
O16 O 0.238 0.237 0.747
O17 O 0.264 0.258 0.259
O18 O 0.266 0.409 0.074
O19 O 0.266 0.591 0.925
O20 O 0.267 0.922 0.592
O21 O 0.268 0.075 0.407
O22 O 0.281 0.750 0.743
O23 O 0.485 0.489 0.259
O24 O 0.487 0.177 0.075
O25 O 0.488 0.157 0.591
O26 O 0.488 0.326 0.405
O27 O 0.488 0.661 0.072
O28 O 0.489 0.823 0.925
O29 O 0.489 0.843 0.408
O30 O 0.490 0.006 0.261
O31 O 0.490 0.340 0.927
O32 O 0.494 0.995 0.739
O33 O 0.511 0.672 0.594
O34 O 0.515 0.510 0.741
O35 O 0.722 0.247 0.255
O36 O 0.723 0.420 0.078
O37 O 0.723 0.581 0.922
O38 O 0.723 0.916 0.589
O39 O 0.726 0.086 0.411
O40 O 0.737 0.744 0.741
O41 O 0.765 0.430 0.584
O42 O 0.777 0.089 0.913
O43 O 0.777 0.755 0.246
O44 O 0.778 0.911 0.087
O45 O 0.779 0.576 0.418
O46 O 0.780 0.242 0.753
O47 O 0.987 0.508 0.740
O48 O 0.991 0.650 0.583
# E_form (uncorrected) = -2.881 eV/atom
# N(E_F) = 0.000 states/eV/atom
# calculated total energy = -7.298 eV/atom
# volume = 928 Å³ per cell
# E above lowest polymorph = 3 meV per atom

Entry 5:
# PBE-GGA YTl2BiW, relaxed
data_YTl2BiW
_cell_length_a 5.781
_cell_length_b 5.781
_cell_length_c 5.901
_cell_angle_alpha 90.00
_cell_angle_beta 90.00
_cell_angle_gamma 90.00
_symmetry_space_group_name_H-M 'P 4/m m m'
_symmetry_Int_Tables_number 123
_symmetry_space_group_name_Hall '-P 4 2'
loop_
_atom_site_label
_atom_site_type_symbol
_atom_site_fract_x
_atom_site_fract_y
_atom_site_fract_z
Y1 Y 0.000 0.000 0.000
Tl1 Tl 0.000 0.500 0.500
Bi1 Bi 0.000 0.000 0.500
W1 W 0.500 0.500 0.000
# N(E_F) = 0.511 states/eV/atom
# ΔE_f = 1.590 eV/atom
# calculated total energy = -4.016 eV/atom
# volume = 197 Å³ per cell

Entry 6:
# PBE-GGA LaHfCuOs2, relaxed
data_LaHfCuOs2
_cell_length_a 4.805
_cell_length_b 4.805
_cell_length_c 5.123
_cell_angle_alpha 90.00
_cell_angle_beta 90.00
_cell_angle_gamma 90.00
_symmetry_space_group_name_H-M 'P 4/m m m'
_symmetry_Int_Tables_number 123
_symmetry_space_group_name_Hall '-P 4 2'
loop_
_atom_site_label
_atom_site_type_symbol
_atom_site_fract_x
_atom_site_fract_y
_atom_site_fract_z
La1 La 0.000 0.000 0.000
Hf1 Hf 0.000 0.000 0.500
Cu1 Cu 0.500 0.500 0.500
Os1 Os 0.000 0.500 0.000
# N(E_F) = 1.175 states/eV/atom
# ΔE_f = 2.416 eV/atom
# calculated total energy = -5.871 eV/atom
# volume = 118 Å³ per cell